Entry 1:
SrNbTe2 | PBE | optimized geometry

Output
- E_form (uncorrected) (kJ/mol of formula units) = -148
- density of states at the Fermi level (states/eV/cell) = 5.01
- total magnetic moment (μB per formula unit) = 2.998
- excess energy over the best structure of this formula in the dataset (meV/atom) = 171
- raw total energy (Ha/atom) = -0.1798

Cell lengths 6.771, 6.771, 8.651 Å; angles 66.96, 66.96, 90.00 degrees
Atoms (fractional coordinates):
Sr: 0.500 0.500 0.000
Sr: 0.250 0.750 0.500
Nb: 0.000 0.000 0.000
Nb: 0.750 0.250 0.500
Te: 0.682 0.125 0.250
Te: 0.068 0.625 0.250
Te: 0.375 0.318 0.750
Te: 0.875 0.932 0.750

Entry 2:
Al2Zn3Cu6 | PBE | optimized geometry

Output
- density of states at the Fermi level (states/eV/cell) = 2.62
- total magnetic moment (μB per formula unit) = 0.000
- formation enthalpy at 0 K (kJ/mol of formula units) = -75
- raw total energy (Ha/atom) = -0.1225

Cell lengths 4.586, 4.601, 8.537 Å; angles 116.88, 73.84, 110.80 degrees
Atoms (fractional coordinates):
Al: 0.706 0.401 0.695
Al: 0.294 0.599 0.305
Zn: 0.000 0.000 0.000
Zn: 0.209 0.875 0.665
Zn: 0.791 0.125 0.335
Cu: 0.832 0.529 0.149
Cu: 0.381 0.981 0.149
Cu: 0.168 0.471 0.851
Cu: 0.619 0.019 0.851
Cu: 0.246 0.255 0.500
Cu: 0.754 0.745 0.500

- Which value of raw total energy does entry 1 give?
  -0.1798 Ha/atom